[1]
Compound: Ca2YCu
Source: Alexandria
Functional: SCAN
Structure: single point on PBEsol structure

## Properties
Crystal system: cubic
D(E_F), states/eV/atom: 0.42
Energy above the most stable polymorph in this dataset, meV/atom: 337
Energy of formation, eV per atom: 0.27
Calculated volume, Å³ per cell: 425

abc: 7.5157 7.5157 7.5157
angles: 90.00 90.00 90.00
Last column: nearest neighbours and their distance in Å.
Fractional coordinates of all 16 atoms:
Ca1 0.0000 0.0000 0.0000  4 Ca 3.25, 4 Cu 3.25
Ca2 0.0000 0.5000 0.5000  4 Ca 3.25, 4 Cu 3.25
Ca3 0.2500 0.2500 0.2500  4 Ca 3.25, 4 Y 3.25
Ca4 0.2500 0.7500 0.7500  4 Ca 3.25, 4 Y 3.25
Ca5 0.5000 0.0000 0.5000  4 Ca 3.25, 4 Cu 3.25
Ca6 0.5000 0.5000 0.0000  4 Ca 3.25, 4 Cu 3.25
Ca7 0.7500 0.2500 0.7500  4 Ca 3.25, 4 Y 3.25
Ca8 0.7500 0.7500 0.2500  4 Ca 3.25, 4 Y 3.25
Y1 0.0000 0.0000 0.5000  4 Cu 3.25, 4 Ca 3.25
Y2 0.0000 0.5000 0.0000  4 Cu 3.25, 4 Ca 3.25
Y3 0.5000 0.0000 0.0000  4 Cu 3.25, 4 Ca 3.25
Y4 0.5000 0.5000 0.5000  4 Cu 3.25, 4 Ca 3.25
Cu1 0.2500 0.2500 0.7500  4 Ca 3.25, 4 Y 3.25
Cu2 0.2500 0.7500 0.2500  4 Ca 3.25, 4 Y 3.25
Cu3 0.7500 0.2500 0.2500  4 Ca 3.25, 4 Y 3.25
Cu4 0.7500 0.7500 0.7500  4 Y 3.25, 4 Ca 3.25


[2]
Compound: SiIr
Source: Alexandria
Functional: SCAN
Structure: single point on PBEsol structure

## Properties
Crystal system: hexagonal
D(E_F), states/eV/atom: 0.59
Calculated volume, Å³ per cell: 75
Uncorrected formation energy, eV per atom: -0.162

abc: 3.7997 3.7997 5.9881
angles: 90.00 90.00 120.00
Last column: nearest neighbours and their distance in Å.
Fractional coordinates of all 4 atoms:
Si1 0.3333 0.6667 0.0000  4 Ir 2.30
Si2 0.6667 0.3333 0.5000  4 Ir 2.30
Ir1 0.3333 0.6667 0.3841  4 Si 2.30
Ir2 0.6667 0.3333 0.8841  4 Si 2.30


[3]
Compound: AlCo2
Source: Alexandria
Functional: SCAN
Structure: single point on PBEsol structure

## Properties
Crystal system: trigonal
D(E_F), states/eV/atom: 0.34
Energy of formation, eV per atom: -0.10
Calculated volume, Å³ per cell: 102

abc: 2.6047 2.6047 17.3764
angles: 90.00 90.00 120.00
Last column: nearest neighbours and their distance in Å.
Fractional coordinates of all 9 atoms:
Al1 0.0000 0.0000 0.0000  6 Co 2.47, 6 Al 2.60
Al2 0.3333 0.6667 0.6667  6 Co 2.47, 6 Al 2.60
Al3 0.6667 0.3333 0.3333  6 Co 2.47, 6 Al 2.60
Co1 0.0000 0.0000 0.2203  9 Co 2.40-2.60, 3 Al 2.47
Co2 0.0000 0.0000 0.4460  9 Co 2.40-2.60, 3 Al 2.47
Co3 0.3333 0.6667 0.1127  9 Co 2.40-2.60, 3 Al 2.47
Co4 0.3333 0.6667 0.8869  9 Co 2.40-2.60, 3 Al 2.47
Co5 0.6667 0.3333 0.5536  9 Co 2.40-2.60, 3 Al 2.47
Co6 0.6667 0.3333 0.7793  9 Co 2.40-2.60, 3 Al 2.47


[4]
Compound: BaZnSi2
Source: Alexandria
Functional: SCAN
Structure: single point on PBEsol structure

## Properties
Crystal system: monoclinic
D(E_F), states/eV/atom: 0.24
Calculated volume, Å³ per cell: 182
Uncorrected formation energy, eV per atom: -0.074

abc: 7.2843 4.3300 6.2962
angles: 90.00 113.36 90.00
Last column: nearest neighbours and their distance in Å.
Fractional coordinates of all 8 atoms:
Ba1 0.0000 0.0000 0.0000  4 Zn 3.26-3.62, 5 Si 3.32-3.60
Ba2 0.5000 0.5000 0.0000  4 Zn 3.26-3.62, 5 Si 3.32-3.60
Zn1 0.2062 0.0000 0.6263  4 Si 2.52-2.78
Zn2 0.7062 0.5000 0.6263  4 Si 2.52-2.78
Si1 0.0121 0.5000 0.5333  3 Zn 2.52, 3 Si 2.56-2.63
Si2 0.2935 0.5000 0.3861  3 Si 2.56-2.63, 3 Zn 2.78-2.85
Si3 0.5121 0.0000 0.5333  3 Zn 2.52, 3 Si 2.56-2.63
Si4 0.7935 0.0000 0.3861  3 Si 2.56-2.63, 3 Zn 2.78-2.85


[5]
Compound: K2TaAg
Source: Alexandria
Functional: SCAN
Structure: single point on PBEsol structure

## Properties
Crystal system: cubic
D(E_F), states/eV/atom: 1.67
Energy above the most stable polymorph in this dataset, meV/atom: 432
Energy of formation, eV per atom: 1.55
Calculated volume, Å³ per cell: 508

abc: 7.9812 7.9812 7.9812
angles: 90.00 90.00 90.00
Last column: nearest neighbours and their distance in Å.
Fractional coordinates of all 16 atoms:
K1 0.2500 0.2500 0.2500  4 Ta 3.46, 4 Ag 3.46
K2 0.2500 0.2500 0.7500  4 Ta 3.46, 4 Ag 3.46
K3 0.2500 0.7500 0.2500  4 Ta 3.46, 4 Ag 3.46
K4 0.2500 0.7500 0.7500  4 Ta 3.46, 4 Ag 3.46
K5 0.7500 0.2500 0.2500  4 Ta 3.46, 4 Ag 3.46
K6 0.7500 0.2500 0.7500  4 Ta 3.46, 4 Ag 3.46
K7 0.7500 0.7500 0.2500  4 Ta 3.46, 4 Ag 3.46
K8 0.7500 0.7500 0.7500  4 Ta 3.46, 4 Ag 3.46
Ta1 0.0000 0.0000 0.0000  8 K 3.46
Ta2 0.0000 0.5000 0.5000  8 K 3.46
Ta3 0.5000 0.0000 0.5000  8 K 3.46
Ta4 0.5000 0.5000 0.0000  8 K 3.46
Ag1 0.0000 0.0000 0.5000  8 K 3.46
Ag2 0.0000 0.5000 0.0000  8 K 3.46
Ag3 0.5000 0.0000 0.0000  8 K 3.46
Ag4 0.5000 0.5000 0.5000  8 K 3.46


[6]
Compound: NiRu3
Source: Alexandria
Functional: SCAN
Structure: single point on PBEsol structure

## Properties
Crystal system: hexagonal
D(E_F), states/eV/atom: 0.89
Energy of formation, eV per atom: 0.10
Calculated volume, Å³ per cell: 51

abc: 2.6647 2.6647 8.2723
angles: 90.00 90.00 120.00
Last column: nearest neighbours and their distance in Å.
Fractional coordinates of all 4 atoms:
Ni1 0.0000 0.0000 0.0000  6 Ru 2.56, 6 Ni 2.66
Ru1 0.0000 0.0000 0.5000  12 Ru 2.60-2.66
Ru2 0.6667 0.3333 0.2471  3 Ni 2.56, 9 Ru 2.60-2.66
Ru3 0.6667 0.3333 0.7529  3 Ni 2.56, 9 Ru 2.60-2.66